Entry 1:
{
  "formula": "AcPrPd2",
  "functional": "GGA-PBE",
  "state": "optimized geometry",
  "space_group": "Fm-3m",
  "final_energy_ev_per_atom": -5.51,
  "ef_ev_per_atom": -0.693,
  "polymorph_energy_mev_per_atom": 98,
  "lattice_angstrom": [[-4.7668, 2.1191, 0.7942], [-2.9921, -1.6655, 4.0146], [-0.8300, 3.1459, 4.1543]],
  "species": ["Pr", "Ac", "Pd", "Pd"],
  "fractional_positions": [[0.5000, 0.5000, 0.5000], [0.0000, 0.0000, 0.0000], [0.2500, 0.2500, 0.2500], [0.7500, 0.7500, 0.7500]]
}


Entry 2:
{
  "formula": "LaTh3Al8",
  "functional": "GGA-PBE",
  "state": "optimized geometry",
  "space_group": "R3m",
  "final_energy_ev_per_atom": -5.19,
  "ef_ev_per_atom": -0.426,
  "lattice_angstrom": [[5.7200, 0.0000, 0.0000], [2.8600, 4.9536, 0.0000], [2.8600, 1.6512, 9.3049]],
  "species": ["La", "Th", "Th", "Th", "Al", "Al", "Al", "Al", "Al", "Al", "Al", "Al"],
  "fractional_positions": [[0.8748, 0.8748, 0.3756], [0.3749, 0.3749, 0.8754], [0.9999, 0.9999, 0.0004], [0.5004, 0.5004, 0.4988], [0.9383, 0.4384, 0.1850], [0.4357, 0.9373, 0.6897], [0.4384, 0.4384, 0.1850], [0.9373, 0.9373, 0.6897], [0.1873, 0.1873, 0.4381], [0.6874, 0.6874, 0.9377], [0.4384, 0.9383, 0.1850], [0.9373, 0.4357, 0.6897]]
}


Entry 3:
{
  "formula": "Pm2Sn3Pt4",
  "functional": "GGA-PBE",
  "state": "optimized geometry",
  "space_group": "Cmce",
  "final_energy_ev_per_atom": -5.93,
  "ef_ev_per_atom": -0.855,
  "lattice_angstrom": [[-0.3772, -5.7067, 2.0618], [3.4880, -2.5319, -6.3697], [7.4932, 3.6949, 2.6346]],
  "species": ["Pm", "Pm", "Pm", "Pm", "Sn", "Sn", "Sn", "Sn", "Sn", "Sn", "Pt", "Pt", "Pt", "Pt", "Pt", "Pt", "Pt", "Pt"],
  "fractional_positions": [[0.1018, 0.5959, 0.2037], [0.8982, 0.4041, 0.7963], [0.3982, 0.0959, 0.7963], [0.6018, 0.9041, 0.2037], [0.0000, 0.0000, 0.0000], [0.5000, 0.5000, 0.0000], [0.5158, 0.7500, 0.5316], [0.9842, 0.2500, 0.4684], [0.4842, 0.2500, 0.4684], [0.0158, 0.7500, 0.5316], [0.6841, 0.7500, 0.8683], [0.8159, 0.2500, 0.1317], [0.3159, 0.2500, 0.1317], [0.1841, 0.7500, 0.8683], [0.1698, 0.9728, 0.3397], [0.8302, 0.0272, 0.6603], [0.3302, 0.4728, 0.6603], [0.6698, 0.5272, 0.3397]]
}